Record 1
The following is a DFT calculation (GGA-PBE) of a relaxed structure of Li15GaAg4.

abc: 4.141 4.141 19.614
angles: 90.00 90.00 90.00
Fractional coordinates of all 20 atoms:
Li 0.500 0.500 0.000
Li 0.500 0.500 0.199
Li 0.500 0.500 0.400
Li 0.500 0.500 0.600
Li 0.500 0.500 0.801
Li 0.500 0.000 0.098
Li 0.500 0.000 0.298
Li 0.500 0.000 0.500
Li 0.500 0.000 0.702
Li 0.500 0.000 0.902
Li 0.000 0.500 0.098
Li 0.000 0.500 0.298
Li 0.000 0.500 0.500
Li 0.000 0.500 0.702
Li 0.000 0.500 0.902
Ga 0.000 0.000 0.000
Ag 0.000 0.000 0.198
Ag 0.000 0.000 0.400
Ag 0.000 0.000 0.600
Ag 0.000 0.000 0.802

Summary:
* calculated total energy: -2.2973 eV per atom
* symmetry: P4/mmm (123)

***

Record 2
The following is a DFT calculation (GGA-PBE) of a relaxed structure of BaLiAu10.

abc: 4.746 5.596 9.848
angles: 90.00 90.00 90.00
Fractional coordinates of all 12 atoms:
Ba 0.000 0.500 0.500
Li 0.000 0.000 0.000
Au 0.000 0.000 0.293
Au 0.000 0.500 0.848
Au 0.000 0.500 0.152
Au 0.000 0.000 0.707
Au 0.500 0.000 0.500
Au 0.500 0.500 0.000
Au 0.500 0.253 0.251
Au 0.500 0.747 0.749
Au 0.500 0.747 0.251
Au 0.500 0.253 0.749

Summary:
* calculated total energy: -3.3593 eV per atom
* symmetry: Pmmm (47)

***

Record 3
The following is a DFT calculation (GGA-PBE) of a relaxed structure of Tb6CeSm8.

abc: 8.700 8.700 8.700
angles: 63.12 63.12 63.12
Fractional coordinates of all 15 atoms:
Tb 0.900 0.461 0.761
Tb 0.239 0.100 0.539
Tb 0.539 0.239 0.100
Tb 0.461 0.761 0.900
Tb 0.761 0.900 0.461
Tb 0.100 0.539 0.239
Ce 0.000 0.000 0.000
Sm 0.114 0.717 0.754
Sm 0.246 0.886 0.283
Sm 0.283 0.246 0.886
Sm 0.578 0.578 0.578
Sm 0.422 0.422 0.422
Sm 0.717 0.754 0.114
Sm 0.754 0.114 0.717
Sm 0.886 0.283 0.246

Summary:
* calculated total energy: -4.6375 eV per atom
* symmetry: R-3 (148)

***

Record 4
The following is a DFT calculation (GGA-PBE) of a relaxed structure of PmGdAu2.

abc: 5.182 5.182 5.182
angles: 60.00 60.00 60.00
Fractional coordinates of all 4 atoms:
Gd 0.500 0.500 0.500
Au 0.250 0.250 0.250
Au 0.750 0.750 0.750
Pm 0.000 0.000 0.000

Summary:
* calculated total energy: -7.1512 eV per atom
* symmetry: Fm-3m (225)
* excess energy over the best structure of this formula in the dataset: 3 meV/atom